1.
# LiErNp2Se4, optimized geometry, DFT PBE
data_LiErNp2Se4
_symmetry_space_group_name_H-M 'P 1'
_symmetry_Int_Tables_number 1
_symmetry_space_group_name_Hall 'P 1'
_cell_length_a 4.0607
_cell_length_b 7.0131
_cell_length_c 7.0503
_cell_angle_alpha 109.43
_cell_angle_beta 90.00
_cell_angle_gamma 90.00
loop_
_atom_site_label
_atom_site_fract_x
_atom_site_fract_y
_atom_site_fract_z
_atom_site_occupancy
Li1 0.5000 0.5000 0.0000 1
Er1 0.0000 0.0000 0.0000 1
Np1 0.5000 0.0000 0.5000 1
Np2 0.0000 0.5000 0.5000 1
Se1 0.5000 0.2514 0.2397 1
Se2 0.5000 0.7486 0.7603 1
Se3 0.0000 0.2566 0.7618 1
Se4 0.0000 0.7434 0.2382 1
# uncorrected energy: -0.522 Ry per atom
# ΔE_f (raw): -1320 meV/atom

---

2.
# K2BeHg, optimized geometry, DFT PBE
data_K2BeHg
_symmetry_space_group_name_H-M 'P 1'
_symmetry_Int_Tables_number 1
_symmetry_space_group_name_Hall 'P 1'
_cell_length_a 3.6523
_cell_length_b 3.6523
_cell_length_c 10.1833
_cell_angle_alpha 90.00
_cell_angle_beta 90.00
_cell_angle_gamma 90.00
loop_
_atom_site_label
_atom_site_fract_x
_atom_site_fract_y
_atom_site_fract_z
_atom_site_occupancy
Be1 0.0000 0.0000 0.6067 1
K1 0.0000 0.0000 0.9231 1
K2 0.5000 0.5000 0.3222 1
Hg1 0.5000 0.5000 0.6480 1
# DFT formation energy: 1.3 eV per formula unit
# uncorrected energy: -0.090 Ry per atom

---

3.
# SiMo2Pb, optimized geometry, DFT PBE
data_SiMo2Pb
_symmetry_space_group_name_H-M 'P 1'
_symmetry_Int_Tables_number 1
_symmetry_space_group_name_Hall 'P 1'
_cell_length_a 4.5644
_cell_length_b 3.1358
_cell_length_c 5.3112
_cell_angle_alpha 72.78
_cell_angle_beta 90.00
_cell_angle_gamma 90.00
loop_
_atom_site_label
_atom_site_fract_x
_atom_site_fract_y
_atom_site_fract_z
_atom_site_occupancy
Mo1 0.0000 0.8151 0.9893 1
Mo2 0.5000 0.2161 0.1966 1
Pb1 0.0000 0.5523 0.5190 1
Si1 0.5000 0.9165 0.7951 1
# uncorrected energy: -0.533 Ry per atom
# ΔE_f (raw): 440 meV/atom

---

4.
# BaNaRu2Pt, optimized geometry, DFT PBE
data_BaNaRu2Pt
_symmetry_space_group_name_H-M 'P 1'
_symmetry_Int_Tables_number 1
_symmetry_space_group_name_Hall 'P 1'
_cell_length_a 4.7255
_cell_length_b 5.4377
_cell_length_c 4.7255
_cell_angle_alpha 90.00
_cell_angle_beta 90.00
_cell_angle_gamma 90.00
loop_
_atom_site_label
_atom_site_fract_x
_atom_site_fract_y
_atom_site_fract_z
_atom_site_occupancy
Ru1 0.0000 0.0000 0.5000 1
Ru2 0.5000 0.0000 0.0000 1
Ba1 0.0000 0.5000 0.0000 1
Pt1 0.5000 0.5000 0.5000 1
Na1 0.0000 0.0000 0.0000 1
# DFT formation energy: 8.8 eV per formula unit
# uncorrected energy: -0.279 Ry per atom

---

5.
# Mg2ScAg, optimized geometry, DFT PBE
data_Mg2ScAg
_symmetry_space_group_name_H-M 'P 1'
_symmetry_Int_Tables_number 1
_symmetry_space_group_name_Hall 'P 1'
_cell_length_a 4.5490
_cell_length_b 4.5490
_cell_length_c 8.8432
_cell_angle_alpha 104.90
_cell_angle_beta 104.90
_cell_angle_gamma 90.00
loop_
_atom_site_label
_atom_site_fract_x
_atom_site_fract_y
_atom_site_fract_z
_atom_site_occupancy
Mg1 0.0000 0.5000 0.0000 1
Mg2 0.5000 0.0000 0.0000 1
Mg3 0.3607 0.3607 0.7215 1
Mg4 0.6393 0.6393 0.2785 1
Sc1 0.1383 0.1383 0.2767 1
Sc2 0.8617 0.8617 0.7233 1
Ag1 0.2500 0.7500 0.5000 1
Ag2 0.7500 0.2500 0.5000 1
# DFT formation energy: -0.6 eV per formula unit
# uncorrected energy: -0.238 Ry per atom

---

6.
# NaCuH2F8, optimized geometry, DFT PBE
data_NaCuH2F8
_symmetry_space_group_name_H-M 'P 1'
_symmetry_Int_Tables_number 1
_symmetry_space_group_name_Hall 'P 1'
_cell_length_a 4.8389
_cell_length_b 4.8334
_cell_length_c 6.6884
_cell_angle_alpha 88.32
_cell_angle_beta 87.84
_cell_angle_gamma 74.45
loop_
_atom_site_label
_atom_site_fract_x
_atom_site_fract_y
_atom_site_fract_z
_atom_site_occupancy
Na1 0.0000 0.0000 0.5000 1
Cu1 0.0000 0.0000 0.0000 1
H1 0.2928 0.2902 0.7291 1
H2 0.7072 0.7098 0.2709 1
F1 0.2263 0.8002 0.1923 1
F2 0.7653 0.7675 0.0381 1
F3 0.8023 0.2275 0.1951 1
F4 0.7737 0.1998 0.8077 1
F5 0.2347 0.2325 0.9619 1
F6 0.1977 0.7725 0.8049 1
F7 0.7000 0.7034 0.4162 1
F8 0.3000 0.2966 0.5838 1
# uncorrected energy: -0.271 Ry per atom

---

7.
# K2Tl3InCl6, optimized geometry, DFT PBE
data_K2Tl3InCl6
_symmetry_space_group_name_H-M 'P 1'
_symmetry_Int_Tables_number 1
_symmetry_space_group_name_Hall 'P 1'
_cell_length_a 4.5580
_cell_length_b 9.1304
_cell_length_c 10.2055
_cell_angle_alpha 102.91
_cell_angle_beta 102.90
_cell_angle_gamma 90.00
loop_
_atom_site_label
_atom_site_fract_x
_atom_site_fract_y
_atom_site_fract_z
_atom_site_occupancy
K1 0.8330 0.6673 0.6661 1
K2 0.1670 0.3327 0.3339 1
Tl1 0.5000 0.5000 0.0000 1
Tl2 0.8332 0.1686 0.6665 1
Tl3 0.1668 0.8314 0.3335 1
In1 0.5000 0.0000 0.0000 1
Cl1 0.3328 0.9107 0.6657 1
Cl2 0.6686 0.5783 0.3372 1
Cl3 0.6672 0.0893 0.3343 1
Cl4 0.0034 0.2498 0.0068 1
Cl5 0.9966 0.7502 0.9932 1
Cl6 0.3314 0.4217 0.6628 1
# uncorrected energy: -0.237 Ry per atom
# ΔE_f (raw): -1295 meV/atom

---

8.
# KNaLiF4, optimized geometry, DFT PBE
data_KNaLiF4
_symmetry_space_group_name_H-M 'P 1'
_symmetry_Int_Tables_number 1
_symmetry_space_group_name_Hall 'P 1'
_cell_length_a 5.1521
_cell_length_b 5.6349
_cell_length_c 7.3086
_cell_angle_alpha 90.00
_cell_angle_beta 110.64
_cell_angle_gamma 90.00
loop_
_atom_site_label
_atom_site_fract_x
_atom_site_fract_y
_atom_site_fract_z
_atom_site_occupancy
K1 0.5976 0.7500 0.1952 1
K2 0.4024 0.2500 0.8048 1
Na1 0.1278 0.2500 0.2556 1
Na2 0.8722 0.7500 0.7444 1
Li1 0.2694 0.7500 0.5387 1
Li2 0.7306 0.2500 0.4613 1
F1 0.9623 0.2500 0.9246 1
F2 0.4074 0.7500 0.8148 1
F3 0.0377 0.7500 0.0754 1
F4 0.5926 0.2500 0.1852 1
F5 0.5000 0.5000 0.5000 1
F6 0.0000 0.0000 0.5000 1
F7 0.5000 0.0000 0.5000 1
F8 0.0000 0.5000 0.5000 1
# uncorrected energy: -0.297 Ry per atom
# ΔE_f (raw): -2356 meV/atom

---

9.
# PrAsAu, optimized geometry, DFT PBE
data_PrAsAu
_symmetry_space_group_name_H-M 'P 1'
_symmetry_Int_Tables_number 1
_symmetry_space_group_name_Hall 'P 1'
_cell_length_a 4.0945
_cell_length_b 4.0945
_cell_length_c 5.2872
_cell_angle_alpha 112.78
_cell_angle_beta 112.78
_cell_angle_gamma 90.00
loop_
_atom_site_label
_atom_site_fract_x
_atom_site_fract_y
_atom_site_fract_z
_atom_site_occupancy
Pr1 0.6097 0.6097 0.2194 1
As1 0.9671 0.9671 0.9343 1
Au1 0.2732 0.2732 0.5463 1
# DFT formation energy: -2.0 eV per formula unit
# uncorrected energy: -0.361 Ry per atom

---

10.
# Tm2MgSe, optimized geometry, DFT PBE
data_Tm2MgSe
_symmetry_space_group_name_H-M 'P 1'
_symmetry_Int_Tables_number 1
_symmetry_space_group_name_Hall 'P 1'
_cell_length_a 3.6711
_cell_length_b 3.6711
_cell_length_c 10.2799
_cell_angle_alpha 79.71
_cell_angle_beta 79.71
_cell_angle_gamma 60.00
loop_
_atom_site_label
_atom_site_fract_x
_atom_site_fract_y
_atom_site_fract_z
_atom_site_occupancy
Mg1 0.0000 0.0000 0.0000 1
Tm1 0.1068 0.1068 0.6796 1
Tm2 0.8932 0.8932 0.3204 1
Se1 0.5000 0.5000 0.5000 1
# uncorrected energy: -0.293 Ry per atom
# ΔE_f (raw): -477 meV/atom

---

11.
# PmSnAu2, optimized geometry, DFT PBE
data_PmSnAu2
_symmetry_space_group_name_H-M 'P 1'
_symmetry_Int_Tables_number 1
_symmetry_space_group_name_Hall 'P 1'
_cell_length_a 4.1911
_cell_length_b 4.6911
_cell_length_c 4.6911
_cell_angle_alpha 90.00
_cell_angle_beta 90.00
_cell_angle_gamma 90.00
loop_
_atom_site_label
_atom_site_fract_x
_atom_site_fract_y
_atom_site_fract_z
_atom_site_occupancy
Au1 0.0000 0.0000 0.5000 1
Au2 0.0000 0.5000 0.0000 1
Sn1 0.5000 0.5000 0.5000 1
Pm1 0.5000 0.0000 0.0000 1
# DFT formation energy: -2.3 eV per formula unit
# uncorrected energy: -0.324 Ry per atom

---

12.
# TaTeRh2, optimized geometry, DFT PBE
data_TaTeRh2
_symmetry_space_group_name_H-M 'P 1'
_symmetry_Int_Tables_number 1
_symmetry_space_group_name_Hall 'P 1'
_cell_length_a 3.4939
_cell_length_b 3.4939
_cell_length_c 5.8638
_cell_angle_alpha 90.00
_cell_angle_beta 90.00
_cell_angle_gamma 90.00
loop_
_atom_site_label
_atom_site_fract_x
_atom_site_fract_y
_atom_site_fract_z
_atom_site_occupancy
Ta1 0.0000 0.0000 0.4401 1
Te1 0.5000 0.5000 0.7889 1
Rh1 0.0000 0.0000 0.0030 1
Rh2 0.5000 0.5000 0.2680 1
# uncorrected energy: -0.553 Ry per atom
# ΔE_f (raw): -99 meV/atom